No. 1
# MnCuAg2, optimized geometry, DFT GGA-PBE
data_MnCuAg2
_symmetry_space_group_name_H-M 'P 1'
_symmetry_Int_Tables_number 1
_symmetry_space_group_name_Hall 'P 1'
_cell_length_a 4.474
_cell_length_b 4.474
_cell_length_c 4.474
_cell_angle_alpha 60.00
_cell_angle_beta 60.00
_cell_angle_gamma 60.00
loop_
_atom_site_label
_atom_site_type_symbol
_atom_site_fract_x
_atom_site_fract_y
_atom_site_fract_z
_atom_site_occupancy
Ag1 Ag 0.750 0.750 0.750 1
Ag2 Ag 0.250 0.250 0.250 1
Cu1 Cu 0.500 0.500 0.500 1
Mn1 Mn 0.000 0.000 0.000 1
# - Polymorph energy (0 for the lowest one): 55 meV per atom
# - Formation enthalpy at 0 K: 0.22 eV per atom
# - Magnetic moment: 1.009 μB per atom
# - DFT total energy: -0.166 Ha/atom
# - Crystal system: cubic


No. 2
# Mn2CuAg, optimized geometry, DFT GGA-PBE
data_Mn2CuAg
_symmetry_space_group_name_H-M 'P 1'
_symmetry_Int_Tables_number 1
_symmetry_space_group_name_Hall 'P 1'
_cell_length_a 2.956
_cell_length_b 3.001
_cell_length_c 7.108
_cell_angle_alpha 65.09
_cell_angle_beta 90.00
_cell_angle_gamma 90.00
loop_
_atom_site_label
_atom_site_type_symbol
_atom_site_fract_x
_atom_site_fract_y
_atom_site_fract_z
_atom_site_occupancy
Mn1 Mn 0.000 0.996 0.004 1
Cu1 Cu 0.500 0.725 0.775 1
Mn2 Mn 0.500 0.286 0.214 1
Ag1 Ag 0.000 0.492 0.508 1
# - Polymorph energy (0 for the lowest one): 0 meV per atom
# - Formation enthalpy at 0 K: 0.20 eV per atom
# - Magnetic moment: 0.035 μB per atom
# - DFT total energy: -0.225 Ha/atom
# - Crystal system: orthorhombic


No. 3
# MnCuAg2, optimized geometry, DFT GGA-PBE
data_MnCuAg2
_symmetry_space_group_name_H-M 'P 1'
_symmetry_Int_Tables_number 1
_symmetry_space_group_name_Hall 'P 1'
_cell_length_a 4.857
_cell_length_b 4.857
_cell_length_c 4.805
_cell_angle_alpha 78.92
_cell_angle_beta 78.92
_cell_angle_gamma 34.92
loop_
_atom_site_label
_atom_site_type_symbol
_atom_site_fract_x
_atom_site_fract_y
_atom_site_fract_z
_atom_site_occupancy
Mn1 Mn 0.250 0.250 0.250 1
Ag1 Ag 0.003 0.003 0.997 1
Cu1 Cu 0.750 0.750 0.750 1
Ag2 Ag 0.497 0.497 0.503 1
# - Polymorph energy (0 for the lowest one): 50 meV per atom
# - Formation enthalpy at 0 K: 0.22 eV per atom
# - Magnetic moment: 1.011 μB per atom
# - DFT total energy: -0.166 Ha/atom
# - Crystal system: monoclinic